(1)
Entry from the Alexandria database: a geometry-optimized KIn3Hg structure (PBE).

Summary:
Space group: No. 221
Fermi-level density of states: 0.947 states/eV/atom
Energy relative to the lowest polymorph listed for this composition: 309.4 meV per atom

POSCAR file:
```
KIn3Hg
1.0
5.7404 0.0000 0.0000
0.0000 5.7404 0.0000
0.0000 0.0000 5.7404
K In Hg
1 3 1
Cartesian
0.0000 0.0000 0.0000
0.0000 2.8702 2.8702
2.8702 0.0000 2.8702
2.8702 2.8702 0.0000
2.8702 2.8702 2.8702
```

(2)
Entry from the Alexandria database: a geometry-optimized Er5ScSb6 structure (PBE).

Summary:
Space group: No. 12
Fermi-level density of states: 0.175 states/eV/atom
Uncorrected formation energy: -1062 meV/atom

POSCAR file:
```
Er5ScSb6
1.0
3.7454 -6.4875 0.0000
3.7454 6.4875 0.0000
-2.5001 0.0000 7.0606
Er Sc Sb
5 1 6
Cartesian
0.0000 0.0000 0.0000
2.4954 4.3373 3.5303
3.7454 2.1983 0.0000
3.7454 -2.1983 0.0000
2.4954 -4.3373 3.5303
2.4954 0.0000 3.5303
1.2747 2.1201 1.8007
0.0510 0.0000 5.2796
1.2747 -2.1201 1.8007
3.7160 2.1201 5.2599
4.9397 0.0000 1.7809
3.7160 -2.1201 5.2599
```

(3)
Entry from the Alexandria database: a geometry-optimized ZrScOs structure (PBE).

Summary:
Space group: No. 11
Fermi-level density of states: 0.904 states/eV/atom
Energy relative to the lowest polymorph listed for this composition: 110.4 meV per atom

POSCAR file:
```
ZrScOs
1.0
5.2990 0.0000 0.0000
0.0000 4.5146 0.0000
-1.8157 0.0000 5.4010
Zr Sc Os
2 2 2
Cartesian
-0.0978 1.1286 1.6881
3.5811 3.3859 3.7130
2.3531 3.3859 0.8513
1.1301 1.1286 4.5497
0.8373 3.3859 3.1635
2.6460 1.1286 2.2375
```

(4)
Entry from the Alexandria database: a geometry-optimized SbSI3 structure (PBE).

Summary:
Space group: No. 221
Fermi-level density of states: 1.574 states/eV/atom
Uncorrected formation energy: 439 meV/atom
Energy relative to the lowest polymorph listed for this composition: 0.0 meV per atom

POSCAR file:
```
SbSI3
1.0
6.0106 0.0000 0.0000
0.0000 6.0106 0.0000
0.0000 0.0000 6.0106
Sb S I
1 1 3
Cartesian
0.0000 0.0000 0.0000
3.0053 3.0053 3.0053
0.0000 0.0000 3.0053
0.0000 3.0053 0.0000
3.0053 0.0000 0.0000
```

(5)
Entry from the Alexandria database: a geometry-optimized SrNbSn3 structure (PBE).

Summary:
Space group: No. 221
Fermi-level density of states: 2.278 states/eV/atom
Energy relative to the lowest polymorph listed for this composition: 1802.0 meV per atom

POSCAR file:
```
SrNbSn3
1.0
5.7040 0.0000 0.0000
0.0000 5.7040 0.0000
0.0000 0.0000 5.7040
Sr Nb Sn
1 1 3
Cartesian
0.0000 0.0000 0.0000
2.8520 2.8520 2.8520
0.0000 0.0000 2.8520
0.0000 2.8520 0.0000
2.8520 0.0000 0.0000
```

(6)
Entry from the Alexandria database: a geometry-optimized Cu3RhAu structure (PBE).

Summary:
Space group: No. 14
Fermi-level density of states: 0.746 states/eV/atom
Energy relative to the lowest polymorph listed for this composition: 0.0 meV per atom

POSCAR file:
```
Cu3RhAu
1.0
6.7702 0.0000 0.0000
0.0000 4.6507 0.0000
-2.5818 0.0000 8.8160
Cu Rh Au
12 4 4
Cartesian
0.1200 1.0603 0.6471
-1.1709 1.2651 5.0551
0.5271 3.1500 2.0074
-0.7638 3.8261 6.4154
1.3089 0.7675 5.9383
2.5998 1.5578 1.5303
1.5886 3.0929 7.2857
2.8795 3.8832 2.8777
4.9522 0.8246 2.4006
3.6613 1.5008 6.8086
5.3594 3.3857 3.7609
4.0685 3.5904 8.1689
0.9891 3.0706 4.6970
2.2800 3.9055 0.2890
1.9084 0.7452 8.5270
3.1993 1.5801 4.1190
0.6612 0.7669 3.2546
-0.6297 1.5585 7.6626
4.8181 3.0922 1.1534
3.5272 3.8839 5.5614
```

(7)
Entry from the Alexandria database: a geometry-optimized HoGaIrO6 structure (PBE).

Summary:
Space group: No. 163
Fermi-level density of states: 0.743 states/eV/atom
Uncorrected formation energy: -1591 meV/atom

POSCAR file:
```
HoGaIrO6
1.0
5.3060 0.0000 0.0000
-2.6530 4.5951 0.0000
0.0000 0.0000 8.6163
Ho Ga Ir O
2 2 2 12
Cartesian
0.0000 3.0634 2.1541
2.6530 1.5317 6.4622
0.0000 0.0000 0.0000
0.0000 0.0000 4.3081
0.0000 3.0634 6.4622
2.6530 1.5317 2.1541
-0.7236 1.6111 5.3443
-1.6195 3.1629 7.5801
0.7236 1.6111 7.5801
-0.8959 4.4162 5.3443
1.7571 0.1789 1.0362
1.0335 1.4323 3.2719
1.6195 3.1629 5.3443
0.8959 4.4162 7.5801
3.5489 0.1789 3.2719
1.9294 2.9840 1.0362
4.2725 1.4323 1.0362
3.3766 2.9840 3.2719
```

(8)
Entry from the Alexandria database: a geometry-optimized Ta2VRuN structure (PBE).

Summary:
Space group: No. 123
Fermi-level density of states: 0.773 states/eV/atom
Uncorrected formation energy: -550 meV/atom

POSCAR file:
```
Ta2VRuN
1.0
4.2840 0.0000 0.0000
0.0000 4.2840 0.0000
0.0000 0.0000 3.8113
Ta V Ru N
2 1 1 1
Cartesian
0.0000 2.1420 0.0000
2.1420 0.0000 0.0000
0.0000 0.0000 1.9057
2.1420 2.1420 1.9057
0.0000 0.0000 0.0000
```

(9)
Entry from the Alexandria database: a geometry-optimized ReSi structure (PBE).

Summary:
Space group: No. 194
Fermi-level density of states: 1.334 states/eV/atom
Uncorrected formation energy: 284 meV/atom

POSCAR file:
```
ReSi
1.0
3.8649 0.0000 0.0000
-1.9325 3.3471 0.0000
0.0000 0.0000 4.5971
Re Si
2 2
Cartesian
0.0000 2.2314 1.1493
1.9325 1.1157 3.4478
0.0000 0.0000 0.0000
0.0000 0.0000 2.2986
```

(10)
Entry from the Alexandria database: a geometry-optimized PrSmBiS structure (PBE).

Summary:
Space group: No. 166
Fermi-level density of states: 0.628 states/eV/atom
Uncorrected formation energy: -1148 meV/atom

POSCAR file:
```
PrSmBiS
1.0
2.4296 1.4027 12.4892
-2.4296 1.4027 12.4892
0.0000 -2.8055 12.4892
Pr Sm Bi S
2 2 2 2
Cartesian
0.0000 0.0000 7.4286
0.0000 0.0000 30.0390
0.0000 0.0000 14.1392
0.0000 0.0000 23.3284
0.0000 0.0000 3.6803
0.0000 0.0000 33.7873
0.0000 0.0000 11.3614
0.0000 0.0000 26.1062
```

(11)
Entry from the Alexandria database: a geometry-optimized Sn2WAu structure (PBE).

Summary:
Space group: No. 122
Fermi-level density of states: 0.737 states/eV/atom
Energy relative to the lowest polymorph listed for this composition: 145.1 meV per atom

POSCAR file:
```
Sn2WAu
1.0
-3.8188 3.8188 3.0157
3.8188 -3.8188 3.0157
3.8188 3.8188 -3.0157
Sn W Au
4 2 2
Cartesian
5.7282 1.8941 -0.7539
1.8941 1.9094 0.7539
-1.9094 1.9247 2.2618
1.9247 1.9094 3.7697
0.0000 0.0000 0.0000
0.0000 3.8188 1.5079
3.8188 0.0000 1.5079
0.0000 0.0000 3.0157
```

(12)
Entry from the Alexandria database: a geometry-optimized Li2YFe structure (PBE).

Summary:
Space group: No. 123
Fermi-level density of states: 0.883 states/eV/atom
Energy relative to the lowest polymorph listed for this composition: 156.1 meV per atom

POSCAR file:
```
Li2YFe
1.0
3.5540 0.0000 0.0000
0.0000 3.5540 0.0000
0.0000 0.0000 5.8389
Li Y Fe
2 1 1
Cartesian
0.0000 0.0000 1.1475
0.0000 0.0000 4.6915
1.7770 1.7770 2.9195
1.7770 1.7770 0.0000
```